# 1
Computed, not measured: crystalline LiNpTcN3 at its relaxed geometry at the GGA-PBE level of DFT.

Geometry as CIF:
```
data_LiNpTcN3
_chemical_formula_sum 'Li2 Np2 Tc2 N6'
_cell_length_a 5.769
_cell_length_b 3.177
_cell_length_c 7.700
_cell_angle_alpha 90.00
_cell_angle_beta 111.57
_cell_angle_gamma 90.00
_symmetry_space_group_name_H-M 'P 1 21/m 1'
_symmetry_Int_Tables_number 11
_symmetry_space_group_name_Hall '-P 2yb'
loop_
_atom_site_label
_atom_site_type_symbol
_atom_site_fract_x
_atom_site_fract_y
_atom_site_fract_z
Li1 Li 0.164 0.250 0.083
Np1 Np 0.274 0.750 0.782
Tc1 Tc 0.341 0.750 0.378
N1 N 0.025 0.250 0.810
N2 N 0.271 0.250 0.530
N3 N 0.415 0.750 0.120
```

Output
* uncorrected formation energy: -0.603 eV per atom
* E_tot: -53.82 eV/f.u.


# 2
Computed, not measured: crystalline Li3Np3TcN8 at its relaxed geometry at the GGA-PBE level of DFT.

Geometry as CIF:
```
data_Li3Np3TcN8
_chemical_formula_sum 'Li9 Np9 Tc3 N24'
_cell_length_a 6.6506
_cell_length_b 6.6506
_cell_length_c 15.0472
_cell_angle_alpha 90.00
_cell_angle_beta 90.00
_cell_angle_gamma 120.00
_symmetry_space_group_name_H-M 'R -3 m'
_symmetry_Int_Tables_number 166
_symmetry_space_group_name_Hall '-R 3 2"'
loop_
_atom_site_label
_atom_site_type_symbol
_atom_site_fract_x
_atom_site_fract_y
_atom_site_fract_z
Li1 Li 0.0000 0.5000 0.0000
Np1 Np 0.0000 0.5000 0.5000
Tc1 Tc 0.0000 0.0000 0.5000
N1 N 0.0000 0.0000 0.2393
N2 N 0.0107 0.5054 0.2344
```

Output
* uncorrected formation energy: -0.650 eV per atom
* E_tot: -131.29 eV/f.u.